Material: LiCd2In
Method: DFT, GGA-PBEsol
State: optimized geometry

abc: 4.337 4.337 8.631
angles: 90.00 90.00 90.00
Space group I4/mmm (No. 139)
One atom of each set of equivalent atoms:
Li: 0.000 0.000 0.000 (multiplicity 2)
Cd: 0.000 0.500 0.250 (multiplicity 4)
In: 0.000 0.000 0.500 (multiplicity 2)

**Calculated density**: 7.09 g/cm3
**E_form**: -0.66 eV per formula unit
**Electronic total energy**: -8.00 eV per formula unit
**Volume**: 162.4 Å³/cell

---

Material: Mn2AlTe
Method: DFT, GGA-PBEsol
State: optimized geometry

abc: 4.083 4.083 7.326
angles: 90.00 90.00 90.00
Space group I4/mmm (No. 139)
One atom of each set of equivalent atoms:
Mn: 0.000 0.500 0.250 (multiplicity 4)
Al: 0.000 0.000 0.000 (multiplicity 2)
Te: 0.000 0.000 0.500 (multiplicity 2)

**Polymorph energy (0 for the lowest one)**: 0.10 eV per formula unit
**E_form (uncorrected)**: 28.64 kJ/mol of atoms
**Calculated density**: 7.19 g/cm3
**Electronic total energy**: -25.95 eV per formula unit
**Volume**: 122.1 Å³/cell

---

Material: KFeSN2
Method: DFT, GGA-PBEsol
State: optimized geometry

abc: 3.735 3.735 4.816
angles: 90.00 90.00 90.00
Space group P4/mmm (No. 123)
One atom of each set of equivalent atoms:
K: 0.000 0.000 0.000 (multiplicity 1)
Fe: 0.500 0.500 0.500 (multiplicity 1)
S: 0.500 0.500 0.000 (multiplicity 1)
N: 0.000 0.500 0.500 (multiplicity 2)

**Polymorph energy (0 for the lowest one)**: 0.00 eV per formula unit
**E_form (uncorrected)**: 58.78 kJ/mol of atoms
**Calculated density**: 3.83 g/cm3
**Electronic total energy**: -28.49 eV per formula unit
**Volume**: 67.2 Å³/cell